The following is a GGA-PBE calculation of an optimized crystal structure of SrCa2LaCd4, from Alexandria.

For the energy relative to the elements, the calculation gives -0.353 eV per atom. The value obtained for the density of states at the Fermi level is 22.13 states/eV per cell. Its volume is 722.5 Å³ per cell. For the total DFT energy (no corrections), the calculation gives -2.14 eV/atom.

The space group is R-3m (No. 166, hexagonal axes) and the conventional cell measures 5.5410, 5.5410 and 27.1741 Å, with angles of 90.00, 90.00 and 120.00 degrees. The asymmetric unit holds Sr at (0.0000, 0.0000, 0.0000), Ca at (0.0000, 0.0000, 0.2503), La at (0.0000, 0.0000, 0.5000), Cd at (0.0000, 0.0000, 0.1261) and Cd at (0.0000, 0.0000, 0.3767).

The following is a GGA-PBE calculation of an optimized crystal structure of Na2PmSiSe4, from Alexandria.

The value obtained for the density of states at the Fermi level is 6.89 states/eV per cell. For the uncorrected formation energy, the calculation gives -799 kJ/mol of formula units. Its volume is 788.2 Å³ per cell. For the total DFT energy (no corrections), the calculation gives -4.38 eV/atom.

The space group is Imma (No. 74) and the conventional cell measures 7.937, 8.488 and 11.700 Å, with angles of 90.00, 90.00 and 90.00 degrees. The asymmetric unit holds Na at (0.000, 0.000, 0.000), Na at (0.250, 0.250, 0.250), Pm at (0.000, 0.000, 0.500), Si at (0.250, 0.250, 0.750), Se at (0.000, 0.037, 0.750) and Se at (0.250, 0.250, 0.522).

The following is a GGA-PBE calculation of an optimized crystal structure of BaZr2Se, from Alexandria.

The value obtained for the density of states at the Fermi level is 9.13 states/eV per cell. For the uncorrected formation energy, the calculation gives -2 kJ/mol of formula units. Its volume is 225.0 Å³ per cell. For the total DFT energy (no corrections), the calculation gives -5.63 eV/atom.

The space group is Imm2 (No. 44) and the conventional cell measures 3.485, 6.017 and 10.728 Å, with angles of 90.00, 90.00 and 90.00 degrees. The asymmetric unit holds Ba at (0.000, 0.000, 0.000), Zr at (0.000, 0.000, 0.455), Zr at (0.000, 0.500, 0.195) and Se at (0.000, 0.500, 0.762).

The following is a GGA-PBE calculation of an optimized crystal structure of NaAcSi, from Alexandria.

The value obtained for the density of states at the Fermi level is 0.89 states/eV per cell. For the uncorrected formation energy, the calculation gives -67 kJ/mol of formula units. Its volume is 393.6 Å³ per cell. The calculation puts the excess energy over the best structure of this formula in the dataset at 97 meV/atom. For the total DFT energy (no corrections), the calculation gives -3.85 eV/atom.

The space group is F-43m (No. 216) and the conventional cell measures 7.329, 7.329 and 7.329 Å, with angles of 90.00, 90.00 and 90.00 degrees. The asymmetric unit holds Na at (0.000, 0.000, 0.000), Ac at (0.000, 0.000, 0.500) and Si at (0.250, 0.250, 0.750).

The following is a GGA-PBE calculation of an optimized crystal structure of LiFe3Os, from Alexandria.

For the energy relative to the elements, the calculation gives 1.144 eV per atom. The value obtained for the density of states at the Fermi level is 6.81 states/eV per cell. Its volume is 54.6 Å³ per cell. The calculation puts the excess energy over the best structure of this formula in the dataset at 0 meV/atom. For the total DFT energy (no corrections), the calculation gives -6.56 eV/atom.

The space group is Pm-3m (No. 221) and the conventional cell measures 3.794, 3.794 and 3.794 Å, with angles of 90.00, 90.00 and 90.00 degrees. The asymmetric unit holds Li at (0.000, 0.000, 0.000), Fe at (0.000, 0.000, 0.500) and Os at (0.500, 0.500, 0.500).

The following is a GGA-PBE calculation of an optimized crystal structure of AlW2S, from Alexandria.

The value obtained for the density of states at the Fermi level is 10.10 states/eV per cell. For the uncorrected formation energy, the calculation gives 192 kJ/mol of formula units. Its volume is 263.2 Å³ per cell. For the total DFT energy (no corrections), the calculation gives -7.95 eV/atom.

The space group is I-42d (No. 122) and the conventional cell measures 3.820, 3.820 and 18.030 Å, with angles of 90.00, 90.00 and 90.00 degrees. The asymmetric unit holds Al at (0.000, 0.000, 0.000), W at (0.238, 0.250, 0.625) and S at (0.000, 0.000, 0.500).

The following is a GGA-PBE calculation of an optimized crystal structure of MgSc2Re, from Alexandria.

For the energy relative to the elements, the calculation gives 0.720 eV per atom. The value obtained for the density of states at the Fermi level is 23.90 states/eV per cell. Its volume is 328.2 Å³ per cell. For the total DFT energy (no corrections), the calculation gives -5.96 eV/atom.

The space group is I-42d (No. 122) and the conventional cell measures 4.084, 4.084 and 19.674 Å, with angles of 90.00, 90.00 and 90.00 degrees. The asymmetric unit holds Mg at (0.000, 0.000, 0.000), Sc at (0.229, 0.250, 0.625) and Re at (0.000, 0.000, 0.500).

The following is a GGA-PBE calculation of an optimized crystal structure of K2TbMnSe4, from Alexandria.

The value obtained for the density of states at the Fermi level is 5.12 states/eV per cell. For the uncorrected formation energy, the calculation gives -888 kJ/mol of formula units. Its volume is 881.0 Å³ per cell. For the total DFT energy (no corrections), the calculation gives -4.89 eV/atom.

The space group is Imma (No. 74) and the conventional cell measures 8.289, 8.563 and 12.413 Å, with angles of 90.00, 90.00 and 90.00 degrees. The asymmetric unit holds K at (0.000, 0.000, 0.000), K at (0.250, 0.250, 0.250), Tb at (0.000, 0.000, 0.500), Mn at (0.250, 0.250, 0.750), Se at (0.000, 0.060, 0.739) and Se at (0.227, 0.250, 0.509).